The following is a PBE-GGA calculation of a relaxed Zn2CrSi crystal, from Alexandria via LeMat-Bulk.

Spin magnetization = 2.38 Bohr magnetons per cell
Formation energy (no corrections) = 322.9 meV/atom
Space-group type = R-3m, No. 166

Unit cell a=2.6633 b=2.6633 c=27.4348 alpha=90.00 beta=90.00 gamma=120.00
Positions (direct):
Zn  0.0000  0.0000  0.2450
Zn  0.0000  0.0000  0.7550
Zn  0.3333  0.6667  0.4217
Zn  0.3333  0.6667  0.9117
Zn  0.6667  0.3333  0.0883
Zn  0.6667  0.3333  0.5783
Cr  0.0000  0.0000  0.5000
Cr  0.3333  0.6667  0.1667
Cr  0.6667  0.3333  0.8333
Si  0.0000  0.0000  0.0000
Si  0.3333  0.6667  0.6667
Si  0.6667  0.3333  0.3333